Material: ZnCr3O
Method: DFT, PBE with a Hubbard U
State: relaxed

Summary:
**V**: 115.97 Å³ per cell
**Total moment**: 2.78 μB per atom
**VASP energy**: -4.52 eV per atom

```
data_ZnCr3O
_chemical_formula_sum 'Zn1 Cr3 O1'
_symmetry_space_group_name_H-M 'P m -3 m'
_symmetry_Int_Tables_number 221
_symmetry_space_group_name_Hall '-P 4 2 3'
_cell_length_a 4.877
_cell_length_b 4.877
_cell_length_c 4.877
_cell_angle_alpha 90.00
_cell_angle_beta 90.00
_cell_angle_gamma 90.00
loop_
_atom_site_label
_atom_site_type_symbol
_atom_site_fract_x
_atom_site_fract_y
_atom_site_fract_z
Zn1 Zn 0.000 0.000 0.000
Cr1 Cr 0.000 0.000 0.500
O1 O 0.500 0.500 0.500
```